Entry 1:
Zn2Fe2Hg: optimized geometry, PBEsol.

Values from the calculation:
D(E_F)   0.724 states/eV per atom
Formation energy from the elements   0.361 eV/atom

a b c (Å): 3.364 3.364 7.111
angles (deg): 103.68 103.68 90.00
Last column: magnetic moment on the atom in μB.
Sites, in units of the cell vectors:
Fe 0.250 0.750 0.500  2.36
Zn 0.391 0.391 0.782  -0.01
Zn 0.609 0.609 0.218  -0.01
Fe 0.750 0.250 0.500  2.36
Hg 0.000 0.000 0.000  0.02

---

Entry 2:
BaCdPt: optimized geometry, PBEsol.

Values from the calculation:
D(E_F)   0.338 states/eV per atom
Formation energy from the elements   -0.370 eV/atom

a b c (Å): 5.003 5.003 5.003
angles (deg): 60.00 60.00 60.00
Sites, in units of the cell vectors:
Cd 0.500 0.500 0.500
Ba 0.000 0.000 0.000
Pt 0.250 0.250 0.250

---

Entry 3:
KAsSe4: optimized geometry, PBEsol.

Values from the calculation:
Formation energy without anion corrections   0.24 eV per atom
D(E_F)   0.893 states/eV per atom

a b c (Å): 5.743 5.743 5.743
angles (deg): 60.00 60.00 60.00
Sites, in units of the cell vectors:
Se 0.377 0.377 0.870
K 0.000 0.000 0.000
Se 0.377 0.377 0.377
Se 0.377 0.870 0.377
Se 0.870 0.377 0.377
As 0.750 0.750 0.750

---

Entry 4:
SiRhBr: optimized geometry, PBEsol.

Values from the calculation:
Formation energy without anion corrections   0.93 eV per atom
D(E_F)   0.148 states/eV per atom

a b c (Å): 4.273 4.273 4.273
angles (deg): 60.00 60.00 60.00
Sites, in units of the cell vectors:
Br 0.750 0.750 0.750
Rh 0.000 0.000 0.000
Si 0.500 0.500 0.500

---

Entry 5:
Zr7Sb4: optimized geometry, PBEsol.

Values from the calculation:
Formation energy without anion corrections   -0.74 eV per atom
D(E_F)   0.678 states/eV per atom

a b c (Å): 8.432 11.054 11.105
angles (deg): 90.00 90.00 111.76
Sites, in units of the cell vectors:
Zr 0.354 0.172 0.723
Zr 0.661 0.981 0.738
Sb 0.226 0.561 0.008
Sb 0.714 0.247 0.683
Zr 0.339 0.019 0.262
Zr 0.797 0.444 0.500
Zr 0.203 0.056 0.000
Zr 0.646 0.828 0.277
Zr 0.603 0.160 0.940
Zr 0.988 0.790 0.422
Sb 0.011 0.162 0.846
Zr 0.203 0.556 0.500
Sb 0.226 0.061 0.492
Zr 0.987 0.570 0.205
Zr 0.013 0.430 0.795
Sb 0.680 0.578 0.324
Zr 0.366 0.365 0.941
Sb 0.320 0.922 0.824
Zr 0.797 0.944 0.000
Zr 0.012 0.210 0.578
Sb 0.774 0.439 0.992
Zr 0.012 0.710 0.922
Zr 0.634 0.135 0.441
Sb 0.680 0.078 0.176
Zr 0.634 0.635 0.059
Zr 0.661 0.481 0.762
Zr 0.987 0.070 0.295
Zr 0.339 0.519 0.238
Zr 0.366 0.865 0.559
Zr 0.397 0.340 0.440
Sb 0.714 0.747 0.817
Sb 0.011 0.662 0.654
Zr 0.988 0.290 0.078
Sb 0.989 0.838 0.154
Zr 0.646 0.328 0.223
Zr 0.603 0.660 0.560
Sb 0.320 0.422 0.676
Sb 0.286 0.753 0.317
Zr 0.397 0.840 0.060
Zr 0.013 0.930 0.705
Sb 0.774 0.939 0.508
Sb 0.286 0.253 0.183
Sb 0.989 0.338 0.346
Zr 0.354 0.672 0.777

---

Entry 6:
CrInAs2Se: optimized geometry, PBEsol.

Values from the calculation:
Formation energy without anion corrections   0.20 eV per atom
D(E_F)   0.541 states/eV per atom

a b c (Å): 4.493 4.493 5.346
angles (deg): 90.00 90.00 90.00
Last column: magnetic moment on the atom in μB.
Sites, in units of the cell vectors:
Cr 0.000 0.000 0.000  1.20
As 0.500 0.000 0.000  -0.11
In 0.500 0.500 0.500  -0.02
Se 0.000 0.000 0.500  -0.05
As 0.000 0.500 0.000  -0.11

---

Entry 7:
ZnS2N2: optimized geometry, PBEsol.

Values from the calculation:
Formation energy without anion corrections   1.45 eV per atom
D(E_F)   0.499 states/eV per atom

a b c (Å): 3.761 3.926 3.926
angles (deg): 90.00 90.00 90.00
Sites, in units of the cell vectors:
S 0.000 0.500 0.000
Zn 0.500 0.500 0.500
N 0.500 0.000 0.000
S 0.000 0.000 0.500
N 0.000 0.000 0.000

---

Entry 8:
RbMg2PS: optimized geometry, PBEsol.

Values from the calculation:
Formation energy without anion corrections   -0.13 eV per atom
D(E_F)   0.494 states/eV per atom

a b c (Å): 4.878 4.878 5.602
angles (deg): 90.00 90.00 90.00
Sites, in units of the cell vectors:
Mg 0.500 0.000 0.000
S 0.000 0.000 0.500
P 0.000 0.000 0.000
Rb 0.500 0.500 0.500
Mg 0.000 0.500 0.000

---

Entry 9:
RbMnIn3: optimized geometry, PBEsol.

Values from the calculation:
D(E_F)   1.292 states/eV per atom
Formation energy from the elements   1.590 eV/atom

a b c (Å): 5.959 5.959 5.959
angles (deg): 90.00 90.00 90.00
Last column: magnetic moment on the atom in μB.
Sites, in units of the cell vectors:
Mn 0.500 0.500 0.500  4.50
In 0.500 0.000 0.000  -0.04
In 0.000 0.000 0.500  -0.04
Rb 0.000 0.000 0.000  -0.02
In 0.000 0.500 0.000  -0.04

---

Entry 10:
ReRuBr2: optimized geometry, PBEsol.

Values from the calculation:
Formation energy without anion corrections   1.25 eV per atom
D(E_F)   1.188 states/eV per atom

a b c (Å): 3.057 5.211 5.211
angles (deg): 112.40 105.08 105.08
Last column: magnetic moment on the atom in μB.
Sites, in units of the cell vectors:
Br 0.000 0.500 0.000  0.02
Ru 0.000 0.500 0.500  -0.07
Br 0.000 0.000 0.500  0.02
Re 0.000 0.000 0.000  0.74

---

Entry 11:
Ba2ErCu4O8: optimized geometry, PBEsol.

Values from the calculation:
Formation energy without anion corrections   -1.71 eV per atom
D(E_F)   0.243 states/eV per atom

a b c (Å): 3.817 3.840 13.550
angles (deg): 81.85 90.00 90.00
Sites, in units of the cell vectors:
O 0.000 0.856 0.288
Ba 0.500 0.635 0.729
O 0.000 0.552 0.897
O 0.000 0.282 0.436
Cu 0.000 0.212 0.575
Cu 0.000 0.939 0.122
Er 0.500 0.500 0.000
Cu 0.000 0.061 0.878
O 0.000 0.448 0.103
O 0.000 0.718 0.564
O 0.000 0.144 0.712
O 0.500 0.052 0.897
Ba 0.500 0.365 0.271
O 0.500 0.948 0.103
Cu 0.000 0.788 0.425

---

Entry 12:
AlTcNi2: optimized geometry, PBEsol.

Values from the calculation:
D(E_F)   1.165 states/eV per atom
Formation energy from the elements   -0.152 eV/atom

a b c (Å): 3.667 3.667 4.432
angles (deg): 114.44 114.44 90.00
Last column: magnetic moment on the atom in μB.
Sites, in units of the cell vectors:
Tc 0.500 0.500 0.000  0.65
Al 0.250 0.750 0.500  0.00
Ni 0.000 0.000 0.000  0.28
Ni 0.750 0.250 0.500  0.44

---

Entry 13:
Te2W3Se4: optimized geometry, PBEsol.

Values from the calculation:
Formation energy without anion corrections   -0.39 eV per atom

a b c (Å): 3.340 3.340 20.995
angles (deg): 90.00 90.00 120.00
Sites, in units of the cell vectors:
W 0.667 0.333 0.658
Te 0.667 0.333 0.423
Se 0.667 0.333 0.046
Se 0.000 0.000 0.737
W 0.000 0.000 0.333
Te 0.667 0.333 0.244
Se 0.667 0.333 0.889
Se 0.000 0.000 0.579
W 0.000 0.000 0.968

---

Entry 14:
TeC3: optimized geometry, PBEsol.

Values from the calculation:
Formation energy without anion corrections   1.40 eV per atom
D(E_F)   0.365 states/eV per atom

a b c (Å): 3.406 5.465 6.866
angles (deg): 90.00 90.00 90.00
Sites, in units of the cell vectors:
C 0.000 0.739 0.000
Te 0.500 0.000 0.000
C 0.000 0.761 0.500
C 0.000 0.261 0.000
C 0.000 0.000 0.500
C 0.000 0.239 0.500
Te 0.500 0.500 0.500
C 0.000 0.500 0.000

---

Entry 15:
Sc4AgAu: optimized geometry, PBEsol.

Values from the calculation:
D(E_F)   1.057 states/eV per atom
Formation energy from the elements   0.203 eV/atom

a b c (Å): 5.532 5.532 5.532
angles (deg): 60.00 60.00 60.00
Sites, in units of the cell vectors:
Au 0.000 0.000 0.000
Sc 0.374 0.877 0.374
Ag 0.750 0.750 0.750
Sc 0.374 0.374 0.877
Sc 0.374 0.374 0.374
Sc 0.877 0.374 0.374

---

Entry 16:
TaZnTc: optimized geometry, PBEsol.

Values from the calculation:
D(E_F)   0.660 states/eV per atom
Formation energy from the elements   0.056 eV/atom

a b c (Å): 2.730 2.730 6.665
angles (deg): 98.02 98.02 108.60
Sites, in units of the cell vectors:
Zn 0.671 0.671 0.341
Tc 0.333 0.333 0.665
Ta 0.997 0.997 0.994

---

Entry 17:
YTlMo2: optimized geometry, PBEsol.

Values from the calculation:
D(E_F)   0.655 states/eV per atom
Formation energy from the elements   0.336 eV/atom

a b c (Å): 3.027 3.027 9.410
angles (deg): 90.00 90.00 112.46
Sites, in units of the cell vectors:
Tl 0.000 0.000 0.520
Mo 0.500 0.500 0.778
Y 0.500 0.500 0.227
Mo 0.000 0.000 0.974

---

Entry 18:
Sr4ZnCu: optimized geometry, PBEsol.

Values from the calculation:
D(E_F)   1.536 states/eV per atom
Formation energy from the elements   0.812 eV/atom

a b c (Å): 6.965 6.965 6.965
angles (deg): 60.00 60.00 60.00
Sites, in units of the cell vectors:
Sr 0.875 0.375 0.375
Sr 0.375 0.875 0.375
Sr 0.375 0.375 0.375
Sr 0.375 0.375 0.875
Cu 0.000 0.000 0.000
Zn 0.750 0.750 0.750

---

Entry 19:
Ba3HgN: optimized geometry, PBEsol.

Values from the calculation:
Formation energy without anion corrections   -0.39 eV per atom
D(E_F)   1.113 states/eV per atom

a b c (Å): 5.517 5.517 5.517
angles (deg): 90.00 90.00 90.00
Sites, in units of the cell vectors:
Ba 0.500 0.000 0.000
Ba 0.000 0.000 0.500
Hg 0.500 0.500 0.500
N 0.000 0.000 0.000
Ba 0.000 0.500 0.000

---

Entry 20:
YNiSb2: optimized geometry, PBEsol.

Values from the calculation:
Formation energy without anion corrections   -0.44 eV per atom
D(E_F)   0.581 states/eV per atom

a b c (Å): 3.886 4.642 5.654
angles (deg): 111.23 110.10 90.00
Sites, in units of the cell vectors:
Sb 0.036 0.052 0.071
Sb 0.265 0.814 0.530
Y 0.492 0.511 0.984
Ni 0.708 0.123 0.415

---

Entry 21:
BeSb2AsI: optimized geometry, PBEsol.

Values from the calculation:
Formation energy without anion corrections   0.59 eV per atom
D(E_F)   0.767 states/eV per atom

a b c (Å): 4.811 4.957 4.957
angles (deg): 90.00 90.00 90.00
Sites, in units of the cell vectors:
Sb 0.000 0.000 0.500
As 0.500 0.500 0.500
I 0.500 0.000 0.000
Be 0.000 0.000 0.000
Sb 0.000 0.500 0.000

---

Entry 22:
H3PtBr: optimized geometry, PBEsol.

Values from the calculation:
D(E_F)   0.744 states/eV per atom

a b c (Å): 3.689 3.689 3.689
angles (deg): 90.00 90.00 90.00
Sites, in units of the cell vectors:
H 0.000 0.500 0.000
H 0.500 0.000 0.000
H 0.000 0.000 0.500
Br 0.500 0.500 0.500
Pt 0.000 0.000 0.000

---

Entry 23:
Tb3In5S12: optimized geometry, PBEsol.

Values from the calculation:
Formation energy without anion corrections   -1.17 eV per atom

a b c (Å): 3.856 10.858 21.099
angles (deg): 96.05 90.00 90.00
Sites, in units of the cell vectors:
S 0.250 0.615 0.060
S 0.250 0.876 0.508
S 0.750 0.036 0.316
S 0.250 0.964 0.684
S 0.250 0.162 0.210
S 0.250 0.798 0.349
S 0.750 0.385 0.940
In 0.250 0.651 0.528
In 0.250 0.835 0.887
In 0.750 0.456 0.826
Tb 0.750 0.088 0.765
S 0.750 0.871 0.964
Tb 0.750 0.286 0.285
S 0.250 0.277 0.386
In 0.250 0.544 0.174
S 0.750 0.516 0.710
In 0.750 0.165 0.113
Tb 0.750 0.973 0.588
S 0.250 0.129 0.036
Tb 0.250 0.714 0.715
S 0.750 0.838 0.790
S 0.250 0.610 0.840
Tb 0.250 0.912 0.235
In 0.750 0.758 0.059
S 0.750 0.202 0.651
In 0.750 0.349 0.472
In 0.750 0.646 0.333
Tb 0.250 0.027 0.412
S 0.750 0.124 0.492
In 0.250 0.354 0.667
In 0.250 0.242 0.941
S 0.750 0.939 0.141
S 0.750 0.723 0.614
S 0.250 0.484 0.290
S 0.250 0.291 0.783
S 0.250 0.061 0.859
S 0.750 0.709 0.217
S 0.750 0.579 0.448
S 0.750 0.390 0.160
S 0.250 0.421 0.552

---

Entry 24:
Zr2MoAu: optimized geometry, PBEsol.

Values from the calculation:
D(E_F)   0.713 states/eV per atom
Formation energy from the elements   -0.297 eV/atom

a b c (Å): 3.434 4.635 4.635
angles (deg): 90.00 90.00 90.00
Sites, in units of the cell vectors:
Au 0.500 0.500 0.500
Zr 0.000 0.500 0.000
Mo 0.500 0.000 0.000
Zr 0.000 0.000 0.500

---

The VASP energy results, record by record, are as follows: -3.970, -3.807, -3.371, -4.325, -8.180, -5.257, -4.027, -3.053, -2.357, -5.561, -6.279, -7.070, -7.486, -6.710, -5.406, -8.410, -7.911, -1.401, -3.501, -5.967, -3.410, -3.265, -5.293, -8.765 eV per atom.
The magnetization results, record by record, are as follows: 4.7, 0.0, 0.0, 0.0, 0.0, 0.8, 0.0, 0.0, 4.5, 0.8, 0.0, 1.4, 0.0, 0.0, 0.0, 0.0, 0.0, 0.0, 0.0, 0.0, 0.0, 0.0, 0.0, 0.0 Bohr magnetons per cell.